LaSm2ScS4: relaxed, PBE-GGA.

```
LaSm2ScS4
1.0
3.9405 0.0000 0.0000
0.0000 6.9458 0.1608
0.0000 -2.3865 6.4583
Sc S Sm La
1 4 2 1
direct
0.0000 0.0000 0.0000 Sc
0.0000 0.7655 0.2480 S
0.5000 0.7701 0.7641 S
0.5000 0.2299 0.2359 S
0.0000 0.2345 0.7520 S
0.5000 0.0000 0.5000 Sm
0.0000 0.5000 0.5000 Sm
0.5000 0.5000 0.0000 La
```

Computed properties:
ΔE_f (raw)	-1973	meV/atom
electronic total energy	-6.624	eV per atom
SG	P2/m (10)


ZnCrMo: relaxed, PBE-GGA.

```
ZnCrMo
1.0
-4.9056 3.2743 2.1029
-3.0403 1.8632 5.1471
5.0581 -0.9869 -3.5566
Zn Cr Mo
1 1 1
direct
0.6626 0.6626 0.0000 Zn
0.0012 0.0012 0.0000 Cr
0.3362 0.3362 0.0000 Mo
```

Computed properties:
energy above the most stable polymorph in this dataset	0.53	eV per formula unit
electronic total energy	-6.923	eV per atom
SG	I4mm (107)


LaCoGe3: relaxed, PBE-GGA.

```
LaCoGe3
1.0
-3.9243 -1.8060 -0.5843
1.0105 -0.8499 -4.1544
3.2858 -3.0899 3.7143
La Ge Co
1 3 1
direct
0.5778 0.5778 0.1559 La
0.8356 0.3358 0.6713 Ge
0.3358 0.8356 0.6713 Ge
0.0108 0.0108 0.0215 Ge
0.2431 0.2431 0.4860 Co
```

Computed properties:
electronic total energy	-5.800	eV per atom
SG	I4mm (107)